LaDyEr3 | PBE | optimized geometry

DFT formation energy	0.34	eV/atom
space group	Cmcm, No. 63
density	7.58	g/cm3
electronic total energy	-0.1581	Ha/atom
distance to the lowest polymorph of the same formula	160	meV/atom

a b c (Å): 8.520 8.520 11.549
angles (deg): 90.00 90.00 155.19
Positions (direct):
La  0.192  0.808  0.750
La  0.808  0.192  0.250
Dy  0.482  0.518  0.250
Dy  0.518  0.482  0.750
Er  0.144  0.856  0.250
Er  0.346  0.654  0.504
Er  0.346  0.654  0.996
Er  0.654  0.346  0.004
Er  0.654  0.346  0.496
Er  0.856  0.144  0.750

=====

La3Dy7Er | PBE | optimized geometry

DFT formation energy	0.12	eV/atom
space group	P-1, No. 2
density	7.71	g/cm3
electronic total energy	-0.1678	Ha/atom
distance to the lowest polymorph of the same formula	0	meV/atom

a b c (Å): 6.564 6.744 8.657
angles (deg): 99.88 98.32 95.32
Positions (direct):
La  0.000  0.000  0.000
La  0.194  0.560  0.167
La  0.806  0.440  0.833
Dy  0.011  0.770  0.577
Dy  0.285  0.274  0.788
Dy  0.436  0.792  0.852
Dy  0.500  0.500  0.500
Dy  0.564  0.208  0.148
Dy  0.715  0.726  0.212
Dy  0.989  0.230  0.423
Er  0.500  0.000  0.500